Here is LiY4HoSe8 after structural relaxation from Alexandria via LeMat-Bulk. Energies are from GGA-PBE.

abc: 8.3703 8.3703 20.4535
angles: 90.00 90.00 120.00
With the nearest neighbours (Å) after each atom.
Space group R3m (No. 160, hexagonal axes)
Inequivalent atoms, fractional coordinates:
Li  0.0000  0.0000  0.0000 (multiplicity 3)  4 Se 2.66-2.67
Y  0.0000  0.0000  0.7504 (multiplicity 3)  4 Se 2.74
Y  0.0139  0.5069  0.8768 (multiplicity 9)  6 Se 2.84-2.93
Ho  0.0000  0.0000  0.3697 (multiplicity 3)  6 Se 2.82-2.92
Se  0.0000  0.0000  0.1301 (multiplicity 3)  1 Li 2.66, 3 Y 2.84
Se  0.0000  0.0000  0.6166 (multiplicity 3)  4 Y 2.74-2.93
Se  0.0240  0.5120  0.1275 (multiplicity 9)  3 Y 2.74-2.93, 1 Ho 2.92
Se  0.1739  0.3478  0.9572 (multiplicity 9)  1 Li 2.67, 1 Ho 2.82, 2 Y 2.84

The calculation puts the total energy at -255.88 eV/cell. The calculation puts the formation energy from raw total energies at -1791 meV per atom. The spin magnetization comes out at 0.00 μB/cell.

***

Here is LiYHoSe3 after structural relaxation from Alexandria via LeMat-Bulk. Energies are from GGA-PBE.

abc: 8.3289 3.9458 8.7358
angles: 90.00 102.79 90.00
With the nearest neighbours (Å) after each atom.
Space group P2_1/m (No. 11)
Inequivalent atoms, fractional coordinates:
Li  0.0864  0.2500  0.0836 (multiplicity 2)  4 Se 2.50-2.53, 2 Li 2.68
Y  0.1868  0.2500  0.7236 (multiplicity 2)  7 Se 2.89-3.04
Ho  0.3354  0.7500  0.3346 (multiplicity 2)  6 Se 2.82-2.91
Se  0.0914  0.2500  0.3714 (multiplicity 2)  1 Li 2.51
Se  0.2251  0.7500  0.9940 (multiplicity 2)  3 Li 2.50-2.53
Se  0.4238  0.7500  0.6728 (multiplicity 2)  3 Ho 2.82-2.88, 2 Y 2.89

The calculation puts the total energy at -66.37 eV/cell. The calculation puts the formation energy from raw total energies at -1630 meV per atom. The spin magnetization comes out at 0.00 μB/cell.

***

Here is Li2Y3HoSe6 after structural relaxation from Alexandria via LeMat-Bulk. Energies are from GGA-PBE.

abc: 6.9896 12.1030 7.0037
angles: 90.00 109.44 90.00
With the nearest neighbours (Å) after each atom.
Space group C2/m (No. 12)
Inequivalent atoms, fractional coordinates:
Li  0.0000  0.1675  0.0000 (multiplicity 4)  6 Se 2.80-2.82
Y  0.0000  0.0000  0.5000 (multiplicity 2)  6 Se 2.86-2.90
Y  0.0000  0.3337  0.5000 (multiplicity 4)  6 Se 2.87-2.90
Ho  0.0000  0.5000  0.0000 (multiplicity 2)  6 Se 2.85
Se  0.2425  0.0000  0.2415 (multiplicity 4)  2 Li 2.82, 1 Ho 2.85, 3 Y 2.86-2.90
Se  0.2493  0.3310  0.2409 (multiplicity 8)  2 Li 2.80-2.81, 1 Ho 2.85, 3 Y 2.87-2.90

The calculation puts the total energy at -139.13 eV/cell. The calculation puts the formation energy from raw total energies at -1738 meV per atom. The spin magnetization comes out at 0.00 μB/cell.

***

Here is Li3HoZr2Se6 after structural relaxation from Alexandria via LeMat-Bulk. Energies are from GGA-PBE.

abc: 6.6840 11.5764 6.9463
angles: 90.00 108.74 90.00
With the nearest neighbours (Å) after each atom.
Space group C2/m (No. 12)
Inequivalent atoms, fractional coordinates:
Li  0.0000  0.0000  0.0000 (multiplicity 2)  6 Se 2.70-2.78
Li  0.0000  0.3354  0.0000 (multiplicity 4)  6 Se 2.72-2.79
Ho  0.0000  0.5000  0.5000 (multiplicity 2)  6 Se 2.83-2.84
Zr  0.0000  0.1667  0.5000 (multiplicity 4)  6 Se 2.76
Se  0.2418  0.0000  0.7538 (multiplicity 4)  3 Li 2.70-2.76, 2 Zr 2.76, 1 Ho 2.84
Se  0.2440  0.1715  0.2469 (multiplicity 8)  3 Li 2.72-2.79, 2 Zr 2.76, 1 Ho 2.83

The calculation puts the total energy at -130.94 eV/cell. The calculation puts the formation energy from raw total energies at -1429 meV per atom. The spin magnetization comes out at 0.00 μB/cell.

***

Here is LiHoZrSe4 after structural relaxation from Alexandria via LeMat-Bulk. Energies are from GGA-PBE.

abc: 7.9085 8.2140 11.4297
angles: 90.00 90.00 90.00
With the nearest neighbours (Å) after each atom.
Space group Imma (No. 74)
Inequivalent atoms, fractional coordinates:
Li  0.0000  0.2500  0.1245 (multiplicity 4)  4 Se 2.55-2.64
Ho  0.0000  0.0000  0.5000 (multiplicity 4)  6 Se 2.84-2.87
Zr  0.2500  0.2500  0.7500 (multiplicity 4)  6 Se 2.70-2.74
Se  0.0000  0.0194  0.7503 (multiplicity 8)  1 Li 2.64, 2 Zr 2.74, 1 Ho 2.87
Se  0.2470  0.2500  0.5135 (multiplicity 8)  1 Li 2.55, 1 Zr 2.70, 2 Ho 2.84

The calculation puts the total energy at -158.62 eV/cell. The calculation puts the formation energy from raw total energies at -1525 meV per atom. The spin magnetization comes out at 0.00 μB/cell.

***

Here is Li2HoZrSe4 after structural relaxation from Alexandria via LeMat-Bulk. Energies are from GGA-PBE.

abc: 6.8015 3.8941 6.9110
angles: 90.00 108.95 90.00
With the nearest neighbours (Å) after each atom.
Space group P2/m (No. 10)
Inequivalent atoms, fractional coordinates:
Li  0.0000  0.0000  0.0000 (multiplicity 1)  6 Se 2.80-2.82
Li  0.5000  0.5000  0.0000 (multiplicity 1)  6 Se 2.74
Ho  0.0000  0.5000  0.5000 (multiplicity 1)  6 Se 2.83-2.84
Zr  0.5000  0.0000  0.5000 (multiplicity 1)  6 Se 2.76-2.77
Se  0.2574  0.5000  0.2486 (multiplicity 2)  3 Li 2.74-2.80, 2 Zr 2.77, 1 Ho 2.84
Se  0.2609  0.0000  0.7551 (multiplicity 2)  3 Li 2.74-2.82, 1 Zr 2.76, 2 Ho 2.83

The calculation puts the total energy at -42.80 eV/cell. The calculation puts the formation energy from raw total energies at -1489 meV per atom. The spin magnetization comes out at 0.00 μB/cell.

***

Here is Li3Ho2ZrSe6 after structural relaxation from Alexandria via LeMat-Bulk. Energies are from GGA-PBE.

abc: 6.8527 11.8649 6.9101
angles: 90.00 109.35 90.00
With the nearest neighbours (Å) after each atom.
Space group C2/m (No. 12)
Inequivalent atoms, fractional coordinates:
Li  0.0000  0.0000  0.0000 (multiplicity 2)  6 Se 2.76-2.86
Li  0.0000  0.3336  0.0000 (multiplicity 4)  6 Se 2.77-2.85
Ho  0.0000  0.1669  0.5000 (multiplicity 4)  6 Se 2.84-2.85
Zr  0.0000  0.5000  0.5000 (multiplicity 2)  6 Se 2.76
Se  0.2389  0.5000  0.2479 (multiplicity 4)  1 Zr 2.76, 3 Li 2.77-2.86, 2 Ho 2.84
Se  0.2466  0.3385  0.7539 (multiplicity 8)  3 Li 2.76-2.85, 1 Zr 2.76, 2 Ho 2.85

The calculation puts the total energy at -125.87 eV/cell. The calculation puts the formation energy from raw total energies at -1548 meV per atom. The spin magnetization comes out at 0.00 μB/cell.

***

Here is Li4Ho3ZrSe8 after structural relaxation from Alexandria via LeMat-Bulk. Energies are from GGA-PBE.

abc: 7.9653 7.9653 19.5072
angles: 90.00 90.00 120.00
With the nearest neighbours (Å) after each atom.
Space group R-3m (No. 166, hexagonal axes)
Inequivalent atoms, fractional coordinates:
Li  0.0000  0.0000  0.0000 (multiplicity 3)  6 Se 2.86
Li  0.0000  0.5000  0.0000 (multiplicity 9)  6 Se 2.78-2.79
Ho  0.0000  0.5000  0.5000 (multiplicity 9)  6 Se 2.84-2.85
Zr  0.0000  0.0000  0.5000 (multiplicity 3)  6 Se 2.77
Se  0.0000  0.0000  0.2520 (multiplicity 6)  3 Li 2.79, 3 Ho 2.84
Se  0.0095  0.5048  0.2506 (multiplicity 18)  1 Zr 2.77, 3 Li 2.78-2.86, 2 Ho 2.85

The calculation puts the total energy at -249.50 eV/cell. The calculation puts the formation energy from raw total energies at -1585 meV per atom. The spin magnetization comes out at 0.02 μB/cell.